Below is a crystal of ZnAgW2 relaxed with PBEsol, with properties calculated at the SCAN level.

Results
crystal system: orthorhombic
DFT formation energy: 573 meV/atom
final energy: -363.94 eV per cell
DOS(E_F): 1.81 states/eV/f.u.

Cell lengths 3.2889, 4.4862, 8.3611 Å; angles 90.00, 90.00, 90.00 degrees
Last column: nearest neighbours and their distance in Å.
Space group Imm2 (No. 44)
Symmetry-distinct sites (fractional):
Zn  0.0000  0.0000  0.0000  2 Ag 2.57, 6 W 2.72-2.78
Ag  0.0000  0.5000  0.7363  2 Zn 2.57, 6 W 2.78-2.80
W  0.0000  0.0000  0.5071  2 W 2.55, 4 Zn 2.78, 2 Ag 2.80
W  0.0000  0.5000  0.2408  2 W 2.55, 2 Zn 2.72, 4 Ag 2.78